Entry 1:
An optimized crystal structure of DyTiPd, computed with PBE.

Output
Size of the total moment   0.149 μB per atom
Electronic total energy   -6.230 eV/atom
Formation enthalpy at 0 K   -7.693 kcal/mol of atoms

a b c (Å): 3.366 3.366 10.749
angles (deg): 90.00 90.00 90.00
Positions (direct):
Dy: 0.000 0.000 0.168
Dy: 0.000 0.000 0.832
Ti: 0.500 0.500 0.367
Ti: 0.500 0.500 0.633
Pd: 0.000 0.000 0.500
Pd: 0.500 0.500 0.000

Entry 2:
An optimized crystal structure of MgTl, computed with PBE.

Output
Size of the total moment   0.000 μB per atom
Electronic total energy   -1.998 eV/atom
Formation enthalpy at 0 K   -0.405 kcal/mol of atoms

a b c (Å): 3.422 3.422 9.951
angles (deg): 98.82 98.82 62.81
Positions (direct):
Mg: 0.000 0.000 0.000
Mg: 0.155 0.155 0.499
Tl: 0.575 0.575 0.750
Tl: 0.738 0.738 0.250

Entry 3:
An optimized crystal structure of AgP2Se, computed with PBE.

Output
Size of the total moment   0.000 μB per atom
E_form (uncorrected)   225 meV/atom
Electronic total energy   -4.064 eV/atom

a b c (Å): 2.764 4.510 6.771
angles (deg): 90.00 101.66 90.00
Positions (direct):
Ag: 0.000 0.000 0.000
P: 0.288 0.500 0.579
P: 0.336 0.000 0.673
Se: 0.112 0.500 0.224

Question: What is the formula in the third record?
Answer: AgP2Se

Question: Look up the size of the total moment of the third one.
Answer: 0.000 μB per atom